A relaxed structure of BaPa3Cu4O12, computed with PBE.

Its symmetry is R32 (155).

The structure in POSCAR format:
```
BaPa3Cu4O12
1.0
5.6841 3.2817 2.9220
-5.6841 3.2817 2.9220
0.0000 -6.5635 2.9220
Ba Pa Cu O
1 3 4 12
Direct
0.0000 0.0000 0.0000
0.0000 0.5581 0.4419
0.4419 0.0000 0.5581
0.5581 0.4419 0.0000
0.0696 0.5000 0.9304
0.5000 0.5000 0.5000
0.5000 0.9304 0.0696
0.9304 0.0696 0.5000
0.0052 0.6344 0.7474
0.1014 0.8986 0.5000
0.2526 0.3656 0.9948
0.3337 0.6663 0.5000
0.3656 0.9948 0.2526
0.5000 0.1014 0.8986
0.5000 0.3337 0.6663
0.6344 0.7474 0.0052
0.6663 0.5000 0.3337
0.7474 0.0052 0.6344
0.8986 0.5000 0.1014
0.9948 0.2526 0.3656
```

=====

A relaxed structure of BaPa2CuO8, computed with PBE.

Its symmetry is P-3m1 (164).

The structure in POSCAR format:
```
BaPa2CuO8
1.0
5.1528 0.0000 0.0000
-2.5764 4.4625 0.0000
0.0000 0.0000 7.3265
Ba Pa Cu O
1 2 1 8
Direct
0.0000 0.0000 0.0000
0.3333 0.6667 0.3690
0.6667 0.3333 0.6310
0.0000 0.0000 0.5000
0.1749 0.3498 0.6443
0.1749 0.8251 0.6443
0.3333 0.6667 0.1062
0.3498 0.1749 0.3557
0.6502 0.8251 0.6443
0.6667 0.3333 0.8938
0.8251 0.1749 0.3557
0.8251 0.6502 0.3557
```

=====

A relaxed structure of Ba4PaCu3O12, computed with PBE.

Its symmetry is Im-3m (229).

The structure in POSCAR format:
```
Ba4PaCu3O12
1.0
-4.1093 4.1093 4.1093
4.1093 -4.1093 4.1093
4.1093 4.1093 -4.1093
Ba Pa Cu O
4 1 3 12
Direct
0.0000 0.0000 0.5000
0.0000 0.5000 0.0000
0.5000 0.0000 0.0000
0.5000 0.5000 0.5000
0.0000 0.0000 0.0000
0.0000 0.5000 0.5000
0.5000 0.0000 0.5000
0.5000 0.5000 0.0000
0.0000 0.2602 0.2602
0.0000 0.7398 0.7398
0.2500 0.5000 0.7500
0.2500 0.7500 0.5000
0.2602 0.0000 0.2602
0.2602 0.2602 0.0000
0.5000 0.2500 0.7500
0.5000 0.7500 0.2500
0.7398 0.0000 0.7398
0.7398 0.7398 0.0000
0.7500 0.2500 0.5000
0.7500 0.5000 0.2500
```

=====

A relaxed structure of Ba4Pa3CuO12, computed with PBE.

Its symmetry is Im-3m (229).

The structure in POSCAR format:
```
Ba4Pa3CuO12
1.0
-4.4361 4.4361 4.4361
4.4361 -4.4361 4.4361
4.4361 4.4361 -4.4361
Ba Pa Cu O
4 3 1 12
Direct
0.0000 0.0000 0.5000
0.0000 0.5000 0.0000
0.5000 0.0000 0.0000
0.5000 0.5000 0.5000
0.0000 0.5000 0.5000
0.5000 0.0000 0.5000
0.5000 0.5000 0.0000
0.0000 0.0000 0.0000
0.0000 0.2656 0.2656
0.0000 0.7344 0.7344
0.2500 0.5000 0.7500
0.2500 0.7500 0.5000
0.2656 0.0000 0.2656
0.2656 0.2656 0.0000
0.5000 0.2500 0.7500
0.5000 0.7500 0.2500
0.7344 0.0000 0.7344
0.7344 0.7344 0.0000
0.7500 0.2500 0.5000
0.7500 0.5000 0.2500
```

=====

A relaxed structure of BaPaCuO5, computed with PBE.

Its symmetry is C2/c (15).

The structure in POSCAR format:
```
BaPaCuO5
1.0
3.3472 -5.0970 0.0000
3.3472 5.0970 0.0000
-2.4843 0.0000 7.6691
Ba Pa Cu O
2 2 2 10
Direct
0.1682 0.8318 0.7500
0.8318 0.1682 0.2500
0.5000 0.5000 0.0000
0.5000 0.5000 0.5000
0.1752 0.8248 0.2500
0.8248 0.1752 0.7500
0.1179 0.2231 0.9170
0.2231 0.1179 0.4170
0.2381 0.6384 0.4057
0.3616 0.7619 0.0943
0.4262 0.5738 0.7500
0.5738 0.4262 0.2500
0.6384 0.2381 0.9057
0.7619 0.3616 0.5943
0.7769 0.8821 0.5830
0.8821 0.7769 0.0830
```

=====

A relaxed structure of BaPaCu2O8, computed with PBE.

Its symmetry is I-4 (82).

The structure in POSCAR format:
```
BaPaCu2O8
1.0
-2.7064 2.7064 5.7573
2.7064 -2.7064 5.7573
2.7064 2.7064 -5.7573
Ba Pa Cu O
1 1 2 8
Direct
0.0000 0.0000 0.0000
0.2500 0.7500 0.5000
0.5000 0.5000 0.0000
0.7500 0.2500 0.5000
0.0175 0.4051 0.9654
0.1795 0.4969 0.5831
0.4036 0.8205 0.3174
0.4397 0.0521 0.0346
0.5031 0.0862 0.6826
0.5949 0.5603 0.6124
0.9138 0.5964 0.4169
0.9479 0.9825 0.3876
```

=====

A relaxed structure of Ba3PaCu2O8, computed with PBE.

Its symmetry is P-3m1 (164).

The structure in POSCAR format:
```
Ba3PaCu2O8
1.0
5.9849 0.0000 0.0000
-2.9925 5.1831 0.0000
0.0000 0.0000 7.7710
Ba Pa Cu O
3 1 2 8
Direct
0.0000 0.0000 0.0000
0.3333 0.6667 0.6502
0.6667 0.3333 0.3498
0.0000 0.0000 0.5000
0.3333 0.6667 0.2017
0.6667 0.3333 0.7983
0.1677 0.3354 0.3350
0.1677 0.8323 0.3350
0.3333 0.6667 0.9721
0.3354 0.1677 0.6650
0.6646 0.8323 0.3350
0.6667 0.3333 0.0279
0.8323 0.1677 0.6650
0.8323 0.6646 0.6650
```

=====

A relaxed structure of BaPa4Cu3O12, computed with PBE.

Its symmetry is Im-3 (204).

The structure in POSCAR format:
```
BaPa4Cu3O12
1.0
-4.1727 4.1727 4.1727
4.1727 -4.1727 4.1727
4.1727 4.1727 -4.1727
Ba Pa Cu O
1 4 3 12
Direct
0.0000 0.0000 0.0000
0.0000 0.0000 0.5000
0.0000 0.5000 0.0000
0.5000 0.0000 0.0000
0.5000 0.5000 0.5000
0.0000 0.5000 0.5000
0.5000 0.0000 0.5000
0.5000 0.5000 0.0000
0.1279 0.3004 0.8275
0.1725 0.4729 0.3004
0.1725 0.8721 0.6996
0.3004 0.1725 0.4729
0.3004 0.8275 0.1279
0.4729 0.3004 0.1725
0.5271 0.6996 0.8275
0.6996 0.1725 0.8721
0.6996 0.8275 0.5271
0.8275 0.1279 0.3004
0.8275 0.5271 0.6996
0.8721 0.6996 0.1725
```

=====

A relaxed structure of Ba4Cu3PbO9, computed with PBE.

Its symmetry is Pm-3n (223).

The structure in POSCAR format:
```
Ba4Cu3PbO9
1.0
8.1919 0.0000 0.0000
0.0000 8.1919 0.0000
0.0000 0.0000 8.1919
Ba Cu Pb O
8 6 2 18
Direct
0.2500 0.2500 0.2500
0.2500 0.2500 0.7500
0.2500 0.7500 0.2500
0.2500 0.7500 0.7500
0.7500 0.2500 0.2500
0.7500 0.2500 0.7500
0.7500 0.7500 0.2500
0.7500 0.7500 0.7500
0.0000 0.0000 0.5000
0.0000 0.5000 0.0000
0.0000 0.5000 0.5000
0.5000 0.0000 0.0000
0.5000 0.0000 0.5000
0.5000 0.5000 0.0000
0.0000 0.0000 0.0000
0.5000 0.5000 0.5000
0.0000 0.0000 0.2716
0.0000 0.0000 0.7284
0.0000 0.2500 0.5000
0.0000 0.2716 0.0000
0.0000 0.7284 0.0000
0.0000 0.7500 0.5000
0.2284 0.5000 0.5000
0.2500 0.5000 0.0000
0.2716 0.0000 0.0000
0.5000 0.0000 0.2500
0.5000 0.0000 0.7500
0.5000 0.2284 0.5000
0.5000 0.5000 0.2284
0.5000 0.5000 0.7716
0.5000 0.7716 0.5000
0.7284 0.0000 0.0000
0.7500 0.5000 0.0000
0.7716 0.5000 0.5000
```

=====

A relaxed structure of Ba3CuPb2O9, computed with PBE.

Its symmetry is P-3m1 (164).

The structure in POSCAR format:
```
Ba3CuPb2O9
1.0
5.9817 0.0000 0.0000
-2.9908 5.1803 0.0000
0.0000 0.0000 7.3414
Ba Cu Pb O
3 1 2 9
Direct
0.0000 0.0000 0.0000
0.3333 0.6667 0.6601
0.6667 0.3333 0.3399
0.0000 0.0000 0.5000
0.3333 0.6667 0.1771
0.6667 0.3333 0.8229
0.0000 0.5000 0.0000
0.1586 0.3172 0.3448
0.1586 0.8414 0.3448
0.3172 0.1586 0.6552
0.5000 0.0000 0.0000
0.5000 0.5000 0.0000
0.6828 0.8414 0.3448
0.8414 0.1586 0.6552
0.8414 0.6828 0.6552
```

=====

A relaxed structure of Ba2YCu3Pb2O8, computed with PBE.

The value obtained for the energy above the most stable polymorph in this dataset is 0.0000 eV per atom. Its symmetry is P222_1 (17).

The structure in POSCAR format:
```
Ba2YCu3Pb2O8
1.0
5.4818 0.0000 0.0000
0.0000 16.6326 0.0000
0.0000 0.0000 5.5407
Ba Y Cu Pb O
4 2 6 4 16
Direct
0.2504 0.2234 0.0007
0.2504 0.7766 0.9993
0.7496 0.2234 0.4993
0.7496 0.7766 0.5007
0.2500 0.0000 0.0000
0.7500 0.0000 0.5000
0.2368 0.5000 0.0000
0.2499 0.0979 0.5001
0.2499 0.9021 0.4999
0.7501 0.0979 0.9999
0.7501 0.9021 0.0001
0.7632 0.5000 0.5000
0.2414 0.3905 0.4874
0.2414 0.6095 0.5126
0.7586 0.3905 0.0126
0.7586 0.6095 0.9874
0.0000 0.0870 0.2500
0.0000 0.0866 0.7500
0.0000 0.9134 0.2500
0.0000 0.9130 0.7500
0.2275 0.3905 0.0626
0.2275 0.6095 0.9374
0.2496 0.2577 0.5043
0.2496 0.7423 0.4957
0.5000 0.0871 0.2500
0.5000 0.0866 0.7500
0.5000 0.9134 0.2500
0.5000 0.9129 0.7500
0.7504 0.2577 0.9957
0.7504 0.7423 0.0043
0.7725 0.3905 0.4374
0.7725 0.6095 0.5626
```

=====

A relaxed structure of Ba2YCu3Pb2O8, computed with PBE.

The value obtained for the energy above the most stable polymorph in this dataset is 0.0047 eV per atom. Its symmetry is P2/m (10).

The structure in POSCAR format:
```
Ba2YCu3Pb2O8
1.0
3.9194 0.0000 0.0000
0.0000 3.8750 0.0000
-0.2251 0.0000 16.5918
Ba Y Cu Pb O
2 1 3 2 8
Direct
0.0154 0.0000 0.2237
0.9846 0.0000 0.7763
0.0000 0.0000 0.0000
0.0000 0.0000 0.5000
0.4938 0.5000 0.9025
0.5062 0.5000 0.0975
0.4990 0.5000 0.3915
0.5010 0.5000 0.6085
0.0056 0.5000 0.0875
0.1096 0.0000 0.3916
0.4826 0.5000 0.7413
0.4948 0.0000 0.9135
0.5052 0.0000 0.0865
0.5174 0.5000 0.2586
0.8904 0.0000 0.6084
0.9944 0.5000 0.9125
```

=====

A relaxed structure of Ba3Cu2PdO9, computed with PBE.

Its symmetry is P-3m1 (164).

The structure in POSCAR format:
```
Ba3Cu2PdO9
1.0
5.7241 0.0000 0.0000
-2.8621 4.9572 0.0000
0.0000 0.0000 7.0425
Ba Cu Pd O
3 2 1 9
Direct
0.0000 0.0000 0.0000
0.3333 0.6667 0.6680
0.6667 0.3333 0.3320
0.3333 0.6667 0.1537
0.6667 0.3333 0.8463
0.0000 0.0000 0.5000
0.0000 0.5000 0.0000
0.1683 0.3367 0.3337
0.1683 0.8317 0.3337
0.3367 0.1683 0.6663
0.5000 0.0000 0.0000
0.5000 0.5000 0.0000
0.6633 0.8317 0.3337
0.8317 0.1683 0.6663
0.8317 0.6633 0.6663
```

=====

A relaxed structure of Ba3Cu2PdO6, computed with PBE.

Its symmetry is P-3m1 (164).

The structure in POSCAR format:
```
Ba3Cu2PdO6
1.0
5.9899 0.0000 0.0000
-2.9949 5.1874 0.0000
0.0000 0.0000 6.7629
Ba Cu Pd O
3 2 1 6
Direct
0.0000 0.0000 0.0000
0.3333 0.6667 0.6442
0.6667 0.3333 0.3558
0.3333 0.6667 0.2001
0.6667 0.3333 0.7999
0.0000 0.0000 0.5000
0.1656 0.3312 0.3114
0.1656 0.8344 0.3114
0.3312 0.1656 0.6886
0.6688 0.8344 0.3114
0.8344 0.1656 0.6886
0.8344 0.6688 0.6886
```

=====

A relaxed structure of BaCuPdO2, computed with PBE.

Its symmetry is Cmme (67).

The structure in POSCAR format:
```
BaCuPdO2
1.0
2.8652 -6.1242 0.0000
2.8652 6.1242 0.0000
0.0000 0.0000 4.5245
Ba Cu Pd O
2 2 2 4
Direct
0.2500 0.7500 0.7684
0.7500 0.2500 0.2316
0.0000 0.0000 0.5000
0.5000 0.5000 0.5000
0.2500 0.2500 0.0000
0.7500 0.7500 0.0000
0.1292 0.8708 0.2808
0.3708 0.6292 0.2808
0.6292 0.3708 0.7192
0.8708 0.1292 0.7192
```

=====

A relaxed structure of BaCu3Pd4O12, computed with PBE.

Its symmetry is Im-3 (204).

The structure in POSCAR format:
```
BaCu3Pd4O12
1.0
-3.8317 3.8317 3.8317
3.8317 -3.8317 3.8317
3.8317 3.8317 -3.8317
Ba Cu Pd O
1 3 4 12
Direct
0.0000 0.0000 0.0000
0.0000 0.5000 0.5000
0.5000 0.0000 0.5000
0.5000 0.5000 0.0000
0.0000 0.0000 0.5000
0.0000 0.5000 0.0000
0.5000 0.0000 0.0000
0.5000 0.5000 0.5000
0.1502 0.8278 0.3224
0.1722 0.3224 0.4946
0.1722 0.6776 0.8498
0.3224 0.1502 0.8278
0.3224 0.4946 0.1722
0.4946 0.1722 0.3224
0.5054 0.8278 0.6776
0.6776 0.5054 0.8278
0.6776 0.8498 0.1722
0.8278 0.3224 0.1502
0.8278 0.6776 0.5054
0.8498 0.1722 0.6776
```

=====

Number 1: raw formation energy -2.2906 eV/atom, volume 327.04 Å³/cell. Number 2: raw formation energy -2.4432 eV/atom, volume 168.47 Å³/cell. Number 3: raw formation energy -1.8709 eV/atom, volume 277.57 Å³/cell. Number 4: raw formation energy -3.0122 eV/atom, volume 349.20 Å³/cell. Number 5: raw formation energy -2.3570 eV/atom, volume 261.68 Å³/cell. Number 6: raw formation energy -1.4894 eV/atom, volume 168.67 Å³/cell. Number 7: raw formation energy -2.1403 eV/atom, volume 241.06 Å³/cell. Number 8: raw formation energy -2.6723 eV/atom, volume 290.61 Å³/cell. Number 9: raw formation energy -1.6208 eV/atom, volume 549.73 Å³/cell. Number 10: raw formation energy -1.4911 eV/atom, volume 227.49 Å³/cell. Number 11: raw formation energy -1.6934 eV/atom, volume 505.19 Å³/cell. Number 12: raw formation energy -1.6887 eV/atom, volume 252.00 Å³/cell. Number 13: raw formation energy -1.2632 eV/atom, volume 199.84 Å³/cell. Number 14: raw formation energy -1.3937 eV/atom, volume 210.13 Å³/cell. Number 15: raw formation energy -0.9813 eV/atom, volume 158.78 Å³/cell. Number 16: raw formation energy -0.6465 eV/atom, volume 225.03 Å³/cell.